## NaTlAg (GGA-PBE)

Data for an optimized crystal structure of NaTlAg.

Values from the calculation:
Calculated formation energy: 41 meV per atom
Raw total energy: -0.079 hartree per atom

Cell: 6.947 6.947 6.947 Å, 90.00 90.00 90.00°
Space group F-43m (No. 216)
One atom of each set of equivalent atoms:
Na  0.000  0.000  0.000
Tl  0.000  0.000  0.500
Ag  0.250  0.250  0.750

## RbSr2Ni (GGA-PBE)

Data for an optimized crystal structure of RbSr2Ni.

Values from the calculation:
E above lowest polymorph: 0.231 eV per atom
Calculated formation energy: 346 meV per atom
Raw total energy: -0.080 hartree per atom

Cell: 8.834 8.834 12.518 Å, 90.00 90.00 90.00°
Space group I-42d (No. 122)
One atom of each set of equivalent atoms:
Rb  0.000  0.000  0.000
Sr  0.002  0.750  0.625
Ni  0.000  0.000  0.500

## Cs2Mg2Tl15 (GGA-PBE)

Data for an optimized crystal structure of Cs2Mg2Tl15.

Values from the calculation:
Calculated formation energy: -8 meV per atom
Raw total energy: -0.078 hartree per atom

Cell: 11.3655 11.3655 17.2185 Å, 90.00 90.00 120.00°
Space group R-3m (No. 166, hexagonal axes)
One atom of each set of equivalent atoms:
Cs  0.0000  0.0000  0.1564
Mg  0.0000  0.0000  0.4059
Tl  0.0000  0.2852  0.5000
Tl  0.0000  0.5000  0.0000
Tl  0.0053  0.5027  0.3517

## Si2PAuC (GGA-PBE)

Data for an optimized crystal structure of Si2PAuC.

Values from the calculation:
E above lowest polymorph: 0.124 eV per atom
Raw total energy: -0.199 hartree per atom
Uncorrected formation energy: 327.0 meV per atom

Cell: 5.275 7.268 4.448 Å, 90.00 101.34 90.00°
Space group Cm (No. 8)
One atom of each set of equivalent atoms:
Si  0.000  0.206  0.000
P  0.405  0.500  0.591
Au  0.464  0.000  0.399
C  0.054  0.000  0.270

## Na4Hg2F (GGA-PBE)

Data for an optimized crystal structure of Na4Hg2F.

Values from the calculation:
Raw total energy: -0.071 hartree per atom
Uncorrected formation energy: -823.7 meV per atom

Cell: 4.640 4.640 16.058 Å, 90.00 90.00 90.00°
Space group I4/mmm (No. 139)
One atom of each set of equivalent atoms:
Na  0.000  0.000  0.162
Na  0.000  0.500  0.000
Hg  0.000  0.000  0.353
F  0.000  0.000  0.000

## DyY3Ho6 (GGA-PBE)

Data for an optimized crystal structure of DyY3Ho6.

Values from the calculation:
E above lowest polymorph: 0.010 eV per atom
Calculated formation energy: 142 meV per atom
Raw total energy: -0.184 hartree per atom

Cell: 11.015 18.942 6.144 Å, 90.00 90.00 90.00°
Space group Cmc2_1 (No. 36)
One atom of each set of equivalent atoms:
Dy  0.000  0.208  0.000
Y  0.000  0.391  0.921
Y  0.171  0.109  0.310
Ho  0.000  0.048  0.779
Ho  0.000  0.283  0.491
Ho  0.165  0.453  0.382
Ho  0.250  0.211  0.716

Question: What is the raw total energy in the fifth record?
Answer: -0.071 hartree per atom